# Mn2ZnO4, optimized geometry, DFT PBE with a Hubbard U
# * DOS(E_F): 0.4 states/eV/cell
# * energy above the lowest structure with this stoichiometry: 152 meV/atom
# * crystal system: orthorhombic
data_Mn2ZnO4
_chemical_formula_sum 'Mn8 Zn4 O16'
_space_group_name_H-M_alt 'P 1'
_space_group_IT_number 1
_cell_length_a 8.3822
_cell_length_b 2.9682
_cell_length_c 12.0749
_cell_angle_alpha 90.00
_cell_angle_beta 90.00
_cell_angle_gamma 90.00
loop_
_space_group_symop_operation_xyz
'x,y,z'
loop_
_atom_site_label
_atom_site_fract_x
_atom_site_fract_y
_atom_site_fract_z
Mn1 0.0339 0.2500 0.1036
Mn2 0.1224 0.2500 0.5862
Mn3 0.3776 0.7500 0.0862
Mn4 0.4661 0.7500 0.6036
Mn5 0.5339 0.2500 0.3964
Mn6 0.6224 0.2500 0.9138
Mn7 0.8776 0.7500 0.4138
Mn8 0.9661 0.7500 0.8964
Zn1 0.1912 0.7500 0.3147
Zn2 0.3088 0.2500 0.8147
Zn3 0.6912 0.7500 0.1853
Zn4 0.8088 0.2500 0.6853
O1 0.0618 0.2500 0.8190
O2 0.0713 0.2500 0.4047
O3 0.1273 0.7500 0.0155
O4 0.2251 0.2500 0.1853
O5 0.2749 0.7500 0.6853
O6 0.3727 0.2500 0.5155
O7 0.4287 0.7500 0.9047
O8 0.4382 0.7500 0.3190
O9 0.5618 0.2500 0.6810
O10 0.5713 0.2500 0.0953
O11 0.6273 0.7500 0.4845
O12 0.7251 0.2500 0.3147
O13 0.7749 0.7500 0.8147
O14 0.8727 0.2500 0.9845
O15 0.9287 0.7500 0.5953
O16 0.9382 0.7500 0.1810